No. 1
The following is a GGA-PBE calculation of an optimized crystal structure of CeSmCuGe, from Alexandria via LeMat-Bulk.

Computed properties:
DOS at the Fermi energy ... 9.7 states/eV per cell
Uncorrected energy ... -5.23 eV/atom
Space-group type ... No. 216

Structure (extended XYZ):
```
4
Lattice="0.000 3.599 3.599 3.599 0.000 3.599 3.599 3.599 0.000" Properties=species:S:1:pos:R:3 pbc="T T T"
Ce 0.000 0.000 0.000
Sm 3.599 3.599 3.599
Cu 1.800 1.800 1.800
Ge 5.399 5.399 5.399
```

---

No. 2
The following is a GGA-PBE calculation of an optimized crystal structure of CeFeRh, from Alexandria via LeMat-Bulk.

Computed properties:
DOS at the Fermi energy ... 8.5 states/eV per cell
Uncorrected energy ... -7.69 eV/atom
Space-group type ... No. 74

Structure (extended XYZ):
```
6
Lattice="-2.447 2.774 3.794 2.447 -2.774 3.794 2.447 2.774 -3.794" Properties=species:S:1:pos:R:3 pbc="T T T"
Ce 0.000 1.387 0.944
Ce 2.447 1.387 2.849
Fe 1.223 1.387 -1.897
Fe 1.223 -1.387 1.897
Rh 2.447 0.000 0.000
Rh 0.000 0.000 3.794
```